(1)
Entry from the Alexandria database: a geometry-optimized Pr4HoGe4 structure (PBE-GGA).

a b c (Å): 9.1074 9.1074 6.1785
angles (deg): 90.00 90.00 90.00
Atoms (fractional coordinates):
Pr 0.0483 0.6722 0.1166
Pr 0.1722 0.9517 0.6166
Pr 0.3278 0.5483 0.6166
Pr 0.4517 0.8278 0.1166
Pr 0.5483 0.1722 0.8834
Pr 0.6722 0.4517 0.3834
Pr 0.8278 0.0483 0.3834
Pr 0.9517 0.3278 0.8834
Ho 0.2500 0.2500 0.2500
Ho 0.7500 0.7500 0.7500
Ge 0.0117 0.6296 0.6053
Ge 0.1296 0.9883 0.1053
Ge 0.3704 0.5117 0.1053
Ge 0.4883 0.8704 0.6053
Ge 0.5117 0.1296 0.3947
Ge 0.6296 0.4883 0.8947
Ge 0.8704 0.0117 0.8947
Ge 0.9883 0.3704 0.3947

Properties
Final energy: -5.28 eV per atom
Space-group type: P4_2/n
Magnetization: 0.00 μB per formula unit

***

(2)
Entry from the Alexandria database: a geometry-optimized PrHoGe structure (PBE-GGA).

a b c (Å): 4.9877 4.9877 4.9877
angles (deg): 60.00 60.00 60.00
Atoms (fractional coordinates):
Pr 0.0000 0.0000 0.0000
Ho 0.5000 0.5000 0.5000
Ge 0.7500 0.7500 0.7500

Properties
E above lowest polymorph: 0 meV per atom
Final energy: -5.17 eV per atom
Space-group type: F-43m
Magnetization: 0.00 μB per formula unit

***

(3)
Entry from the Alexandria database: a geometry-optimized PrHoGe2 structure (PBE-GGA).

a b c (Å): 4.0364 5.9052 8.1439
angles (deg): 90.00 90.00 90.00
Atoms (fractional coordinates):
Pr 0.0000 0.1323 0.0000
Pr 0.0000 0.8677 0.5000
Ho 0.5000 0.3690 0.6373
Ho 0.5000 0.6310 0.1373
Ge 0.0000 0.3933 0.3590
Ge 0.0000 0.6067 0.8590
Ge 0.5000 0.1130 0.2805
Ge 0.5000 0.8870 0.7805

Properties
E above lowest polymorph: 2 meV per atom
Final energy: -5.47 eV per atom
Space-group type: Pmc2_1
Magnetization: 0.00 μB per formula unit

***

(4)
Entry from the Alexandria database: a geometry-optimized PrHoGe structure (PBE-GGA).

a b c (Å): 10.9820 10.9820 10.9820
angles (deg): 23.72 23.72 23.72
Atoms (fractional coordinates):
Pr 0.1208 0.1208 0.1208
Pr 0.8792 0.8792 0.8792
Ho 0.2986 0.2986 0.2986
Ho 0.7014 0.7014 0.7014
Ge 0.4018 0.4018 0.4018
Ge 0.5982 0.5982 0.5982

Properties
E above lowest polymorph: 85 meV per atom
Final energy: -5.09 eV per atom
Space-group type: R-3m
Magnetization: 0.97 μB per formula unit

***

(5)
Entry from the Alexandria database: a geometry-optimized Pr2HoGe structure (PBE-GGA).

a b c (Å): 10.2243 10.2243 10.2243
angles (deg): 21.82 21.82 21.82
Atoms (fractional coordinates):
Pr 0.2334 0.2334 0.2334
Pr 0.7666 0.7666 0.7666
Ho 0.0000 0.0000 0.0000
Ge 0.5000 0.5000 0.5000

Properties
E above lowest polymorph: 169 meV per atom
Final energy: -4.84 eV per atom
Space-group type: R-3m
Magnetization: 0.17 μB per formula unit

***

(6)
Entry from the Alexandria database: a geometry-optimized Pr5Ho2Ge4 structure (PBE-GGA).

a b c (Å): 10.9159 10.9159 8.3798
angles (deg): 95.28 95.28 20.36
Atoms (fractional coordinates):
Pr 0.0000 0.0000 0.0000
Pr 0.3374 0.3374 0.0280
Pr 0.3996 0.3996 0.5721
Pr 0.6004 0.6004 0.4279
Pr 0.6626 0.6626 0.9720
Ho 0.2332 0.2332 0.6618
Ho 0.7668 0.7668 0.3382
Ge 0.1046 0.1046 0.7165
Ge 0.4712 0.4712 0.2673
Ge 0.5288 0.5288 0.7327
Ge 0.8954 0.8954 0.2835

Properties
Final energy: -4.97 eV per atom
Space-group type: C2/m
Magnetization: 0.00 μB per formula unit